(1)
! PBE RbBeH2Ir, optimized geometry; values from VASP
&SYSTEM
  ibrav = 0, nat = 5, ntyp = 4
/
ATOMIC_SPECIES
Be 9.01 Be.upf
Ir 192.22 Ir.upf
Rb 85.47 Rb.upf
H 1.01 H.upf
CELL_PARAMETERS angstrom
-2.376 -0.225 -2.997
1.529 -5.518 -0.798
-2.830 -1.121 2.328
ATOMIC_POSITIONS angstrom
Be -1.839 -3.432 -0.734
Ir 0.000 0.000 0.000
Rb 0.764 -2.759 -0.399
H -1.415 -0.560 1.164
H -1.188 -0.112 -1.499
! M_tot = 0.2 μB per formula unit
! Fermi-level density of states = 1.7 states/eV/cell
! Raw total energy = -2.68 eV/atom

=====

(2)
! PBE BeHIrRh2, optimized geometry; values from VASP
&SYSTEM
  ibrav = 0, nat = 5, ntyp = 4
/
ATOMIC_SPECIES
Be 9.01 Be.upf
Ir 192.22 Ir.upf
Rh 102.91 Rh.upf
H 1.01 H.upf
CELL_PARAMETERS angstrom
3.785 0.000 0.000
0.000 3.785 0.000
0.000 0.000 3.851
ATOMIC_POSITIONS angstrom
Be 0.000 0.000 1.925
Ir 1.892 1.892 1.925
Rh 0.000 1.892 0.000
Rh 1.892 0.000 0.000
H 0.000 0.000 0.000
! M_tot = 0.0 μB per formula unit
! Fermi-level density of states = 2.9 states/eV/cell
! Raw total energy = -6.12 eV/atom